No. 1
VASP calculation (PBE-GGA) on an optimized crystal structure of LaSiMoW2.

**ΔE_f (raw)**: 1.056 eV per atom
**Symmetry**: No. 123
**ρ**: 9.28 g/cm³

```
LaSiMoW2
1.0
4.881 0.000 0.000
0.000 4.739 0.000
0.000 0.000 4.881
Mo Si W La
1 1 2 1
Cartesian
0.000 0.000 0.000
0.000 2.370 0.000
0.000 0.000 2.440
2.440 0.000 0.000
2.440 2.370 2.440
```

No. 2
VASP calculation (PBE-GGA) on an optimized crystal structure of LaY2SiMo.

**ΔE_f (raw)**: 0.212 eV per atom
**Symmetry**: No. 123
**ρ**: 5.19 g/cm³

```
LaY2SiMo
1.0
-0.324 3.711 3.818
-4.943 -0.331 -0.098
0.181 -3.815 3.723
Y Mo Si La
2 1 1 1
Cartesian
0.091 -1.908 1.862
-0.162 1.855 1.909
0.000 0.000 0.000
-2.472 -0.165 -0.049
-2.543 -0.218 3.722
```

No. 3
VASP calculation (PBE-GGA) on an optimized crystal structure of LaZn2SiMo.

**ΔE_f (raw)**: 1.742 eV per atom
**Symmetry**: No. 123
**ρ**: 4.39 g/cm³

```
LaZn2SiMo
1.0
-2.626 0.531 4.821
0.468 -4.813 0.785
4.822 0.881 2.529
Mo Si Zn La
1 1 2 1
Cartesian
0.234 -2.407 0.392
1.332 -1.701 4.067
2.411 0.440 1.264
-1.313 0.265 2.411
0.000 0.000 0.000
```

No. 4
VASP calculation (PBE-GGA) on an optimized crystal structure of LaSnMo3.

**ΔH_f (0 K)**: 10.651 eV/f.u.
**Polymorph energy (0 for the lowest one)**: 0.571 eV/atom
**Symmetry**: No. 221
**ρ**: 7.81 g/cm³

```
LaSnMo3
1.0
4.878 0.000 0.000
0.000 4.878 0.000
0.000 0.000 4.878
Mo Sn La
3 1 1
Cartesian
0.000 2.439 0.000
0.000 0.000 2.439
2.439 0.000 0.000
2.439 2.439 2.439
0.000 0.000 0.000
```